1.
# TlCdSi2As

TlCdSi2As at its PBEsol-relaxed geometry (SCAN, Alexandria via LeMat-Bulk).

## Properties
formation energy without anion corrections: 6.05 eV per formula unit
DOS(E_F): 2.137 states/eV/cell
SG: No. 123
calculated total energy: -136.94 eV for the cell shown
crystal system: tetragonal

Geometry as POSCAR:
```
TlCdSi2As
1.0
4.914 0.000 0.000
0.000 4.914 0.000
0.000 0.000 5.386
As Tl Cd Si
1 1 1 2
Cartesian
2.457 2.457 2.693
0.000 0.000 2.693
0.000 0.000 0.000
2.457 0.000 0.000
0.000 2.457 0.000
```

=====

2.
# Sr2CdAs

Sr2CdAs at its PBEsol-relaxed geometry (SCAN, Alexandria via LeMat-Bulk).

## Properties
DOS(E_F): 1.233 states/eV/cell
SG: No. 38
calculated total energy: -98.56 eV for the cell shown
calculated formation energy: -852 meV per atom
crystal system: orthorhombic
energy relative to the lowest polymorph listed for this composition: 0 meV per atom

Geometry as POSCAR:
```
Sr2CdAs
1.0
-0.783 -1.115 4.285
-1.019 -4.231 -1.287
6.171 0.560 1.274
Sr As Cd
2 1 1
Cartesian
4.629 -4.192 2.115
3.015 -0.828 0.336
0.002 -2.256 -0.587
1.364 -3.295 1.751
```

=====

3.
# SrCdAs2

SrCdAs2 at its PBEsol-relaxed geometry (SCAN, Alexandria via LeMat-Bulk).

## Properties
DOS(E_F): 1.415 states/eV/cell
SG: No. 119
calculated total energy: -94.40 eV for the cell shown
calculated formation energy: -333 meV per atom
crystal system: tetragonal

Geometry as POSCAR:
```
SrCdAs2
1.0
4.284 0.000 0.000
0.000 4.284 0.000
-2.142 -2.142 4.973
Cd As Sr
1 2 1
Cartesian
2.142 2.142 0.000
0.000 0.000 0.000
2.142 0.000 2.487
0.000 2.142 2.487
```

=====

4.
# Sr2CdAs

Sr2CdAs at its PBEsol-relaxed geometry (SCAN, Alexandria via LeMat-Bulk).

## Properties
DOS(E_F): 2.839 states/eV/cell
SG: No. 160
calculated total energy: -97.37 eV for the cell shown
calculated formation energy: -553 meV per atom
crystal system: trigonal
energy relative to the lowest polymorph listed for this composition: 299 meV per atom

Geometry as POSCAR:
```
Sr2CdAs
1.0
4.397 0.000 0.000
2.198 3.808 0.000
2.198 1.269 8.511
Sr As Cd
2 1 1
Cartesian
6.595 3.808 0.754
6.595 3.808 5.499
4.397 2.539 3.754
2.198 1.269 2.760
```

=====

5.
# SrCdAs2

SrCdAs2 at its PBEsol-relaxed geometry (SCAN, Alexandria via LeMat-Bulk).

## Properties
DOS(E_F): 2.687 states/eV/cell
SG: No. 166
calculated total energy: -94.70 eV for the cell shown
calculated formation energy: -408 meV per atom
crystal system: trigonal

Geometry as POSCAR:
```
SrCdAs2
1.0
-3.191 -0.749 3.391
0.970 -2.965 3.538
1.213 2.608 4.997
Sr As Cd
1 2 1
Cartesian
0.000 0.000 0.000
-0.968 -1.248 8.652
-0.040 0.142 3.274
-0.504 -0.553 5.963
```

=====

6.
# Sr2CdAs

Sr2CdAs at its PBEsol-relaxed geometry (SCAN, Alexandria via LeMat-Bulk).

## Properties
DOS(E_F): 2.851 states/eV/cell
SG: No. 225
calculated total energy: -97.95 eV for the cell shown
calculated formation energy: -699 meV per atom
crystal system: cubic
energy relative to the lowest polymorph listed for this composition: 154 meV per atom

Geometry as POSCAR:
```
Sr2CdAs
1.0
5.463 0.000 0.000
2.731 4.731 0.000
2.731 1.577 4.460
Sr Cd As
2 1 1
Cartesian
8.194 4.731 3.345
2.731 1.577 1.115
0.000 0.000 0.000
5.463 3.154 2.230
```

=====

7.
# SrTa2CdAs

SrTa2CdAs at its PBEsol-relaxed geometry (SCAN, Alexandria via LeMat-Bulk).

## Properties
DOS(E_F): 3.897 states/eV/cell
SG: No. 123
calculated total energy: -198.23 eV for the cell shown
calculated formation energy: 1563 meV per atom
crystal system: tetragonal

Geometry as POSCAR:
```
SrTa2CdAs
1.0
5.102 0.000 0.000
0.000 5.102 0.000
0.000 0.000 5.298
Cd As Ta Sr
1 1 2 1
Cartesian
0.000 0.000 0.000
0.000 0.000 2.649
0.000 2.551 0.000
2.551 0.000 0.000
2.551 2.551 2.649
```

=====

8.
# TaCdAs2

TaCdAs2 at its PBEsol-relaxed geometry (SCAN, Alexandria via LeMat-Bulk).

## Properties
DOS(E_F): 1.535 states/eV/cell
SG: No. 123
calculated total energy: -137.90 eV for the cell shown
calculated formation energy: -129 meV per atom
crystal system: tetragonal

Geometry as POSCAR:
```
TaCdAs2
1.0
-0.144 -0.278 -3.362
0.331 -3.350 0.262
-6.291 -0.597 0.318
As Cd Ta
2 1 1
Cartesian
-1.346 -0.128 0.068
-4.946 -0.469 0.250
-3.052 -2.112 -1.391
0.094 -1.814 -1.550
```

=====

9.
# TaCdAs2

TaCdAs2 at its PBEsol-relaxed geometry (SCAN, Alexandria via LeMat-Bulk).

## Properties
DOS(E_F): 1.834 states/eV/cell
SG: No. 166
calculated total energy: -137.79 eV for the cell shown
calculated formation energy: -103 meV per atom
crystal system: trigonal

Geometry as POSCAR:
```
TaCdAs2
1.0
3.342 0.000 0.000
1.671 2.894 0.000
1.671 0.965 8.017
As Cd Ta
2 1 1
Cartesian
5.013 2.894 6.248
1.671 0.965 1.769
3.342 1.929 4.009
0.000 0.000 0.000
```

=====

10.
# TaCd2As

TaCd2As at its PBEsol-relaxed geometry (SCAN, Alexandria via LeMat-Bulk).

## Properties
DOS(E_F): 0.842 states/eV/cell
SG: No. 6
calculated total energy: -146.89 eV for the cell shown
calculated formation energy: 179 meV per atom
crystal system: monoclinic

Geometry as POSCAR:
```
TaCd2As
1.0
2.826 0.000 0.011
0.000 4.793 0.000
-0.699 0.000 5.597
Cd As Ta
2 1 1
Cartesian
2.681 0.000 0.035
1.862 2.397 1.433
0.919 2.397 4.017
0.554 0.000 2.937
```

=====

11.
# TaCd2As

TaCd2As at its PBEsol-relaxed geometry (SCAN, Alexandria via LeMat-Bulk).

## Properties
DOS(E_F): 2.097 states/eV/cell
SG: No. 65
calculated total energy: -146.44 eV for the cell shown
calculated formation energy: 292 meV per atom
crystal system: orthorhombic

Geometry as POSCAR:
```
TaCd2As
1.0
-1.335 2.573 -0.139
-2.343 -1.512 0.806
2.043 1.535 8.815
Cd As Ta
2 1 1
Cartesian
0.528 0.397 2.279
1.515 1.138 6.536
-1.839 0.531 0.334
-0.817 1.298 4.741
```

=====

12.
# TaCd2As

TaCd2As at its PBEsol-relaxed geometry (SCAN, Alexandria via LeMat-Bulk).

## Properties
DOS(E_F): 2.000 states/eV/cell
SG: No. 99
calculated total energy: -147.08 eV for the cell shown
calculated formation energy: 130 meV per atom
crystal system: tetragonal

Geometry as POSCAR:
```
TaCd2As
1.0
2.932 0.000 0.000
0.000 2.932 0.000
0.000 0.000 9.115
Ta Cd As
1 2 1
Cartesian
0.000 0.000 4.608
0.000 0.000 0.125
1.466 1.466 2.445
1.466 1.466 6.494
```

=====

13.
# CdTc2As

CdTc2As at its PBEsol-relaxed geometry (SCAN, Alexandria via LeMat-Bulk).

## Properties
DOS(E_F): 2.785 states/eV/cell
SG: No. 12
calculated total energy: -119.50 eV for the cell shown
calculated formation energy: 306 meV per atom
crystal system: monoclinic
energy relative to the lowest polymorph listed for this composition: 199 meV per atom

Geometry as POSCAR:
```
CdTc2As
1.0
2.994 0.000 0.000
-1.497 4.158 -0.001
0.000 -1.283 5.113
As Tc Cd
1 2 1
Cartesian
0.000 -0.641 2.557
0.000 1.857 1.513
1.497 1.018 3.600
1.497 0.000 0.000
```

=====

14.
# CdTc2As

CdTc2As at its PBEsol-relaxed geometry (SCAN, Alexandria via LeMat-Bulk).

## Properties
DOS(E_F): 4.125 states/eV/cell
SG: No. 10
calculated total energy: -119.62 eV for the cell shown
calculated formation energy: 277 meV per atom
crystal system: monoclinic
energy relative to the lowest polymorph listed for this composition: 170 meV per atom

Geometry as POSCAR:
```
CdTc2As
1.0
2.940 0.000 0.003
0.000 3.824 0.000
-1.205 0.000 5.588
As Cd Tc
1 1 2
Cartesian
1.470 1.912 0.002
0.867 1.912 2.796
2.269 0.000 1.216
-0.535 0.000 4.376
```

=====

15.
# Cd2TcAs

Cd2TcAs at its PBEsol-relaxed geometry (SCAN, Alexandria via LeMat-Bulk).

## Properties
DOS(E_F): 1.535 states/eV/cell
SG: No. 44
calculated total energy: -115.32 eV for the cell shown
calculated formation energy: 189 meV per atom
crystal system: orthorhombic

Geometry as POSCAR:
```
Cd2TcAs
1.0
3.110 0.000 0.000
0.000 4.733 0.000
-1.555 -2.366 5.096
As Cd Tc
1 2 1
Cartesian
0.000 2.366 2.054
1.555 0.000 2.909
1.555 2.366 4.995
1.555 2.366 0.235
```